# Mn3RuRh

A geometry-optimized Mn3RuRh structure (PBE, Alexandria via LeMat-Bulk).

Values from the calculation:
* distance to the lowest polymorph of the same formula: 0 meV per atom
* total magnetization: 11.1 μB/f.u.
* DOS(E_F): 8.3 states/eV/cell
* DFT total energy: -7.550 eV/atom
* formation energy from the elements: 29.46 kcal/mol of atoms

Unit cell a=4.551 b=4.551 c=4.551 alpha=90.00 beta=90.00 gamma=90.00
Atoms (fractional coordinates):
Rh 0.500 0.500 0.500
Mn 0.000 0.000 0.500
Mn 0.000 0.500 0.000
Mn 0.500 0.000 0.000
Ru 0.000 0.000 0.000

---

# RbBaNb

A geometry-optimized RbBaNb structure (PBE, Alexandria via LeMat-Bulk).

Values from the calculation:
* distance to the lowest polymorph of the same formula: 0 meV per atom
* total magnetization: 0.0 μB/f.u.
* DOS(E_F): 8.0 states/eV/cell
* DFT total energy: -3.865 eV/atom
* formation energy from the elements: 10.50 kcal/mol of atoms

Unit cell a=3.818 b=18.360 c=3.818 alpha=90.08 beta=89.99 gamma=89.83
Atoms (fractional coordinates):
Ba 0.747 0.160 0.751
Ba 0.253 0.840 0.249
Rb 0.756 0.616 0.748
Rb 0.244 0.384 0.252
Nb 0.249 0.025 0.250
Nb 0.751 0.975 0.750

---

# PBr2

A geometry-optimized PBr2 structure (PBE, Alexandria via LeMat-Bulk).

Values from the calculation:
* total magnetization: 0.0 μB/f.u.
* DOS(E_F): 1.7 states/eV/cell
* DFT total energy: -2.824 eV/atom

Unit cell a=11.836 b=11.836 c=11.836 alpha=157.33 beta=157.39 gamma=32.24
Atoms (fractional coordinates):
Br 0.835 0.585 0.250
Br 0.583 0.833 0.750
Br 0.165 0.415 0.750
Br 0.417 0.167 0.250
P 0.624 0.374 0.250
P 0.376 0.626 0.750

---

# ScSi2Tc

A geometry-optimized ScSi2Tc structure (PBE, Alexandria via LeMat-Bulk).

Values from the calculation:
* distance to the lowest polymorph of the same formula: 406 meV per atom
* total magnetization: 0.0 μB/f.u.
* DOS(E_F): 2.3 states/eV/cell
* DFT total energy: -7.186 eV/atom

Unit cell a=4.455 b=4.455 c=3.144 alpha=90.00 beta=90.00 gamma=104.73
Atoms (fractional coordinates):
Si 0.500 0.500 0.000
Si 0.000 0.000 0.000
Sc 0.000 0.500 0.500
Tc 0.500 0.000 0.500

---

- Which value of DFT total energy does entry 4 give?
  -7.186 eV/atom

---

- Number 1 is which compound?
  Mn3RuRh